[1]
TaNi6Mo after structural relaxation, computed with PBE-GGA.

For the total energy, the calculation gives -7.245 eV per atom. Its formation energy is -5.35 kcal/mol of atoms.

The space group is Pmm2 (No. 25) and the conventional cell measures 4.234, 5.062 and 4.495 Å, with angles of 90.00, 90.00 and 90.00 degrees. The asymmetric unit holds Ta at (0.000, 0.000, 0.000), Ni at (0.000, 0.255, 0.508), Ni at (0.000, 0.500, 0.015), Ni at (0.500, 0.000, 0.667), Ni at (0.500, 0.254, 0.188) and Mo at (0.500, 0.500, 0.694).

[2]
Li2BiOs after structural relaxation, computed with PBE-GGA.

For the total energy, the calculation gives -4.592 eV per atom.

The space group is F-43m (No. 216) and the conventional cell measures 6.403, 6.403 and 6.403 Å, with angles of 90.00, 90.00 and 90.00 degrees. The asymmetric unit holds Li at (0.000, 0.000, 0.000), Li at (0.250, 0.250, 0.250), Bi at (0.000, 0.000, 0.500) and Os at (0.250, 0.250, 0.750).

[3]
Tl2SnHg after structural relaxation, computed with PBE-GGA.

For the total energy, the calculation gives -2.210 eV per atom.

The space group is F-43m (No. 216) and the conventional cell measures 7.629, 7.629 and 7.629 Å, with angles of 90.00, 90.00 and 90.00 degrees. The asymmetric unit holds Tl at (0.000, 0.000, 0.000), Tl at (0.250, 0.250, 0.250), Sn at (0.000, 0.000, 0.500) and Hg at (0.250, 0.250, 0.750).